[1]
Here is InNi2SbMo after structural relaxation from Alexandria. Energies are from PBE. Values from VASP.

Summary:
Formation energy (no corrections) = 920 meV/atom
Total DFT energy (no corrections) = -4.931 eV/atom

Cell and atoms, written as Quantum ESPRESSO input:
```
&SYSTEM
  ibrav = 0, nat = 5, ntyp = 4
/
ATOMIC_SPECIES
In 114.82 In.upf
Ni 58.69 Ni.upf
Sb 121.76 Sb.upf
Mo 95.94 Mo.upf
CELL_PARAMETERS angstrom
4.6503 0.0000 0.0000
0.0000 4.6503 0.0000
0.0000 0.0000 5.1708
ATOMIC_POSITIONS crystal
In 0.0000 0.0000 0.0000
Ni 0.0000 0.5000 0.5000
Ni 0.5000 0.0000 0.5000
Sb 0.5000 0.5000 0.0000
Mo 0.5000 0.5000 0.5000
```

---

[2]
Here is ScIn2NiMo after structural relaxation from Alexandria. Energies are from PBE. Values from VASP.

Summary:
Total DFT energy (no corrections) = -5.001 eV/atom
Energy relative to the elements = 0.68 eV per atom

Cell and atoms, written as Quantum ESPRESSO input:
```
&SYSTEM
  ibrav = 0, nat = 5, ntyp = 4
/
ATOMIC_SPECIES
Sc 44.96 Sc.upf
In 114.82 In.upf
Ni 58.69 Ni.upf
Mo 95.94 Mo.upf
CELL_PARAMETERS angstrom
5.1812 0.0000 0.0000
0.0000 5.1812 0.0000
0.0000 0.0000 4.5137
ATOMIC_POSITIONS crystal
Sc 0.0000 0.0000 0.0000
In 0.0000 0.5000 0.5000
In 0.5000 0.0000 0.5000
Ni 0.5000 0.5000 0.0000
Mo 0.5000 0.5000 0.5000
```

---

Q: The lowest total DFT energy (no corrections) belongs to which entry?
A: ScIn2NiMo